Entry 1:
The following is a DFT calculation (PBE) of PrSnPb after structural relaxation.

Cell: 4.684 17.086 4.482 Å, 90.00 90.00 90.00°
Space group Cmcm (No. 63)
Unique sites:
Pr1 0.000 0.096 0.250
Sn1 0.000 0.439 0.250
Pb1 0.000 0.254 0.750

- M_tot: 0.000 μB/atom
- Energy of formation from the pure elements: -0.55 eV per atom
- Offset from the most stable computed form: 0.000 eV/atom


Entry 2:
The following is a DFT calculation (PBE) of Pr5Sn2Pb after structural relaxation.

Cell: 8.454 8.454 14.564 Å, 90.00 90.00 90.00°
Space group I4/mcm (No. 140)
Unique sites:
Pr1 0.000 0.000 0.000
Pr2 0.165 0.335 0.148
Sn1 0.134 0.366 0.500
Pb1 0.000 0.000 0.250

- M_tot: 0.190 μB/atom
- Energy of formation from the pure elements: -0.61 eV per atom
- Offset from the most stable computed form: 0.000 eV/atom


Entry 3:
The following is a DFT calculation (PBE) of Pr2SnPb2 after structural relaxation.

Cell: 4.716 6.525 11.294 Å, 76.67 77.98 68.82°
Space group P-1 (No. 2)
Unique sites:
Pr1 0.013 0.156 0.320
Pr2 0.173 0.263 0.891
Sn1 0.310 0.576 0.305
Pb1 0.360 0.225 0.553
Pb2 0.437 0.726 0.900

- M_tot: 0.000 μB/atom
- Energy of formation from the pure elements: -0.49 eV per atom
- Offset from the most stable computed form: 0.000 eV/atom


Entry 4:
The following is a DFT calculation (PBE) of Pr2SnPb after structural relaxation.

Cell: 7.900 7.900 7.900 Å, 90.00 90.00 90.00°
Space group Fm-3m (No. 225)
Unique sites:
Pr1 0.250 0.250 0.250
Sn1 0.000 0.000 0.000
Pb1 0.000 0.000 0.500

- M_tot: 0.000 μB/atom
- Energy of formation from the pure elements: -0.51 eV per atom
- Offset from the most stable computed form: 0.168 eV/atom


Entry 5:
The following is a DFT calculation (PBE) of Pr2SnPb after structural relaxation.

Cell: 5.105 5.105 4.602 Å, 90.00 90.00 90.00°
Space group P4/mmm (No. 123)
Unique sites:
Pr1 0.000 0.500 0.000
Sn1 0.000 0.000 0.500
Pb1 0.500 0.500 0.500

- M_tot: 0.001 μB/atom
- Energy of formation from the pure elements: -0.60 eV per atom
- Offset from the most stable computed form: 0.083 eV/atom


Entry 6:
The following is a DFT calculation (PBE) of PrSn2Pb after structural relaxation.

Cell: 7.112 9.082 3.630 Å, 90.00 90.00 90.00°
Space group Cmmm (No. 65)
Unique sites:
Pr1 0.000 0.000 0.000
Sn1 0.250 0.250 0.500
Pb1 0.000 0.500 0.000

- M_tot: 0.000 μB/atom
- Energy of formation from the pure elements: -0.35 eV per atom
- Offset from the most stable computed form: 0.104 eV/atom


Entry 7:
The following is a DFT calculation (PBE) of Pr3Sn2Pb4 after structural relaxation.

Cell: 8.4786 8.4786 4.5190 Å, 90.00 90.00 120.00°
Space group P-62m (No. 189)
Unique sites:
Pr1 0.0000 0.6005 0.0000
Sn1 0.3333 0.6667 0.5000
Pb1 0.0000 0.0000 0.0000
Pb2 0.0000 0.2727 0.5000

- M_tot: 0.000 μB/atom
- Energy of formation from the pure elements: -0.41 eV per atom


Entry 8:
The following is a DFT calculation (PBE) of Pr7Sn2Pb2 after structural relaxation.

Cell: 9.023 11.798 7.392 Å, 90.00 90.00 90.00°
Space group Cmmm (No. 65)
Unique sites:
Pr1 0.000 0.000 0.000
Pr2 0.000 0.500 0.256
Pr3 0.250 0.250 0.287
Sn1 0.000 0.275 0.000
Pb1 0.179 0.000 0.500

- M_tot: 0.000 μB/atom
- Energy of formation from the pure elements: -0.28 eV per atom


Entry 9:
The following is a DFT calculation (PBE) of Pr2SnPb after structural relaxation.

Cell: 3.591 3.591 9.290 Å, 90.00 90.00 90.00°
Space group P4/mmm (No. 123)
Unique sites:
Pr1 0.000 0.000 0.240
Sn1 0.500 0.500 0.000
Pb1 0.500 0.500 0.500

- M_tot: 0.000 μB/atom
- Energy of formation from the pure elements: -0.60 eV per atom
- Offset from the most stable computed form: 0.076 eV/atom


Entry 10:
The following is a DFT calculation (PBE) of Pr4Sn2Pb after structural relaxation.

Cell: 5.0671 5.0671 33.4155 Å, 90.00 90.00 120.00°
Space group R-3m (No. 166, hexagonal axes)
Unique sites:
Pr1 0.0000 0.0000 0.1191
Pr2 0.0000 0.0000 0.2990
Sn1 0.0000 0.0000 0.4033
Pb1 0.0000 0.0000 0.5000

- M_tot: 0.000 μB/atom
- Energy of formation from the pure elements: -0.49 eV per atom


Entry 11:
The following is a DFT calculation (PBE) of Pr8SnPb5 after structural relaxation.

Cell: 9.776 9.776 9.766 Å, 90.00 90.00 90.00°
Space group I-4 (No. 82)
Unique sites:
Pr1 0.069 0.183 0.306
Pr2 0.069 0.320 0.946
Sn1 0.000 0.500 0.250
Pb1 0.000 0.000 0.000
Pb2 0.125 0.250 0.626

- M_tot: 0.000 μB/atom
- Energy of formation from the pure elements: -0.61 eV per atom


Entry 12:
The following is a DFT calculation (PBE) of PrSnPb2 after structural relaxation.

Cell: 5.5993 5.5993 13.7443 Å, 90.00 90.00 120.00°
Space group R-3m (No. 166, hexagonal axes)
Unique sites:
Pr1 0.0000 0.0000 0.0000
Sn1 0.0000 0.0000 0.5000
Pb1 0.0000 0.0000 0.2498

- M_tot: 0.000 μB/atom
- Energy of formation from the pure elements: -0.14 eV per atom
- Offset from the most stable computed form: 0.278 eV/atom